Entry 1:
## Cr2SiAu (PBE)

Data for an optimized crystal structure of Cr2SiAu.

Cell: 2.8269 3.7933 5.1264 Å, 90.00 90.00 90.00°
Positions (direct):
Cr (0.0000, 0.0000, 0.4488)
Cr (0.0000, 0.0000, 0.0512)
Au (0.5000, 0.5000, 0.7500)
Si (0.5000, 0.5000, 0.2500)

Values from the calculation:
Formation energy from raw total energies in eV per atom: 0.1027
DOS at the Fermi energy in states/eV/cell: 4.1
V in Å³ per cell: 55
Total moment in μB/atom: 0.0004



Entry 2:
## La3Tb8Nd (PBE)

Data for an optimized crystal structure of La3Tb8Nd.

Cell: 8.8071 8.8071 8.8071 Å, 98.00 136.80 97.57°
Positions (direct):
Tb (0.5011, 0.7523, 0.7486)
Tb (0.8273, 0.5776, 0.7505)
Tb (0.8271, 0.0768, 0.2495)
Tb (0.1727, 0.9232, 0.7503)
Tb (0.0037, 0.7525, 0.2514)
Tb (0.9963, 0.2477, 0.7489)
Tb (0.4989, 0.2475, 0.2511)
Tb (0.1729, 0.4224, 0.2497)
La (0.0000, 0.5000, 0.5000)
La (0.5000, 0.2481, 0.7481)
La (0.5000, 0.7519, 0.2519)
Nd (0.0000, 0.0000, 0.0000)

Values from the calculation:
DOS at the Fermi energy in states/eV/cell: 16.1
Formation energy from the elements in eV per atom: 0.27
V in Å³ per cell: 435
Total moment in μB/atom: 0.0000



Entry 3:
## Sr2SmGa6 (PBE)

Data for an optimized crystal structure of Sr2SmGa6.

Cell: 3.6837 9.1001 9.1001 Å, 51.40 78.32 78.32°
Positions (direct):
Sr (0.3299, 0.1701, 0.1701)
Sr (0.6701, 0.8299, 0.8299)
Ga (0.1398, 0.1961, 0.5243)
Ga (0.0000, 0.8371, 0.1629)
Ga (0.1398, 0.5243, 0.1961)
Ga (0.8602, 0.4757, 0.8039)
Ga (0.8602, 0.8039, 0.4757)
Ga (0.0000, 0.1629, 0.8371)
Sm (0.5000, 0.5000, 0.5000)

Values from the calculation:
DOS at the Fermi energy in states/eV/cell: 5.5
Formation energy from the elements in eV per atom: -0.32
V in Å³ per cell: 232
Total moment in μB/atom: 0.0000



Entry 4:
## Cu2SnP2 (PBE)

Data for an optimized crystal structure of Cu2SnP2.

Cell: 3.8659 3.8659 6.1439 Å, 71.66 71.66 90.00°
Positions (direct):
P (0.7500, 0.2500, 0.5000)
P (0.2500, 0.7500, 0.5000)
Sn (0.0000, 0.0000, 0.0000)
Cu (0.6147, 0.6147, 0.7706)
Cu (0.3853, 0.3853, 0.2294)

Values from the calculation:
DOS at the Fermi energy in states/eV/cell: 2.1
Formation energy from the elements in eV per atom: 0.19
V in Å³ per cell: 82
Total moment in μB/atom: 0.0000